This record from Alexandria describes a relaxed structure of Rb2ErFeO4. The functional is GGA+U.

**Symmetry**: Fddd
**DFT total energy**: -92.85 eV/cell
**Size of the total moment**: 0.62 μB/atom

Geometry as POSCAR:
```
Rb2ErFeO4
1.0
5.6373 0.0000 0.0000
2.8187 6.3811 0.0000
2.8187 0.0000 11.0643
Rb Er Fe O
4 2 2 8
Cartesian
2.8187 0.0000 6.9611
5.6373 0.0000 4.1032
7.0466 3.1906 9.6353
7.0466 3.1906 1.4290
7.0466 3.1906 5.5321
0.0000 0.0000 0.0000
4.2280 3.1906 5.5321
2.8187 0.0000 0.0000
4.3589 5.2561 0.9081
4.3589 1.1251 10.1562
9.7344 5.2561 10.1562
4.0971 1.1251 0.9081
5.5065 4.3156 4.6240
5.5065 2.0655 6.4403
8.5868 4.3156 6.4403
2.9495 2.0655 4.6240
```